[1]
## ScAgAu (PBE)

Data for a relaxed structure of ScAgAu.

POSCAR file:
```
ScAgAu
1.0
0.0000 3.2241 3.2241
3.2241 0.0000 3.2241
3.2241 3.2241 0.0000
Sc Ag Au
1 1 1
Direct
0.0000 0.0000 0.0000 Sc
0.7500 0.7500 0.7500 Ag
0.2500 0.2500 0.2500 Au
```

- Total moment: 0.00 μB per formula unit
- Polymorph energy (0 for the lowest one): 411.3 meV/atom
- Formation energy from the elements: -0.18 eV per atom

[2]
## ScAgAu (PBE)

Data for a relaxed structure of ScAgAu.

POSCAR file:
```
ScAgAu
1.0
3.5532 0.0000 0.0000
0.0000 3.5532 0.0000
0.0000 0.0000 8.8862
Sc Ag Au
2 2 2
Direct
0.0000 0.0000 0.0000 Sc
0.5000 0.5000 0.5000 Sc
0.0000 0.0000 0.3355 Ag
0.0000 0.0000 0.6645 Ag
0.5000 0.5000 0.1647 Au
0.5000 0.5000 0.8353 Au
```

- Total moment: 0.00 μB per formula unit
- Polymorph energy (0 for the lowest one): 13.1 meV/atom
- Formation energy from the elements: -0.58 eV per atom

[3]
## Sc2AgAu2 (PBE)

Data for a relaxed structure of Sc2AgAu2.

POSCAR file:
```
Sc2AgAu2
1.0
-2.0209 2.0209 6.6069
2.0209 -2.0209 6.6069
2.0209 2.0209 -6.6069
Sc Ag Au
2 1 2
Direct
0.1088 0.1088 0.0000 Sc
0.8912 0.8912 0.0000 Sc
0.5000 0.5000 0.0000 Ag
0.2500 0.7500 0.5000 Au
0.7500 0.2500 0.5000 Au
```

- Total moment: 0.02 μB per formula unit
- Polymorph energy (0 for the lowest one): 118.5 meV/atom
- Formation energy from the elements: -0.19 eV per atom

[4]
## ScAg3Au (PBE)

Data for a relaxed structure of ScAg3Au.

POSCAR file:
```
ScAg3Au
1.0
4.6626 -2.0481 0.0000
4.6626 2.0481 0.0000
-4.6286 0.0000 4.7054
Sc Ag Au
1 3 1
Direct
0.0000 0.0000 0.0000 Sc
0.1975 0.1975 0.5911 Ag
0.5937 0.5937 0.7871 Ag
0.7994 0.7994 0.3942 Ag
0.3942 0.3942 0.1825 Au
```

- Total moment: 0.00 μB per formula unit
- Formation energy from the elements: -0.32 eV per atom

[5]
## Sc2AgSn2Au (PBE)

Data for a relaxed structure of Sc2AgSn2Au.

POSCAR file:
```
Sc2AgSn2Au
1.0
7.9771 0.0000 0.0000
0.0000 4.6042 0.0000
-2.6529 0.0000 15.0395
Sc Ag Sn Au
8 4 8 4
Direct
0.0000 0.0000 0.0000 Sc
0.0033 0.5000 0.5004 Sc
0.2524 0.0000 0.7507 Sc
0.2559 0.5000 0.2519 Sc
0.5026 0.0000 0.5004 Sc
0.5064 0.5000 0.0024 Sc
0.7508 0.0000 0.2509 Sc
0.7542 0.5000 0.7521 Sc
0.0653 0.5000 0.6882 Ag
0.0655 0.0000 0.1886 Ag
0.3158 0.0000 0.9389 Ag
0.5659 0.0000 0.6884 Ag
0.1276 0.0000 0.3752 Sn
0.1300 0.5000 0.8759 Sn
0.3761 0.0000 0.1255 Sn
0.3786 0.5000 0.6271 Sn
0.6259 0.0000 0.8754 Sn
0.6286 0.5000 0.3763 Sn
0.8782 0.0000 0.6268 Sn
0.8804 0.5000 0.1269 Sn
0.3159 0.5000 0.4386 Au
0.5660 0.5000 0.1889 Au
0.8154 0.0000 0.4383 Au
0.8154 0.5000 0.9387 Au
```

- Total moment: 0.00 μB per formula unit
- VASP energy: -5.06 eV/atom

[6]
## Sc2TlZn2Ag2Au (PBE)

Data for a relaxed structure of Sc2TlZn2Ag2Au.

POSCAR file:
```
Sc2TlZn2Ag2Au
1.0
4.7104 0.0000 0.0000
0.0000 4.7104 0.0000
0.0000 0.0000 6.8122
Sc Tl Zn Ag Au
2 1 2 2 1
Direct
0.0000 0.5000 0.2341 Sc
0.5000 0.0000 0.7659 Sc
0.5000 0.5000 0.5000 Tl
0.0000 0.5000 0.7671 Zn
0.5000 0.0000 0.2329 Zn
0.0000 0.0000 0.5000 Ag
0.5000 0.5000 0.0000 Ag
0.0000 0.0000 0.0000 Au
```

- Total moment: 0.00 μB per formula unit
- VASP energy: -3.60 eV/atom

[7]
## YScAgAu (PBE)

Data for a relaxed structure of YScAgAu.

POSCAR file:
```
YScAgAu
1.0
0.0000 3.5218 3.5218
3.5218 0.0000 3.5218
3.5218 3.5218 0.0000
Y Sc Ag Au
1 1 1 1
Direct
0.0000 0.0000 0.0000 Y
0.5000 0.5000 0.5000 Sc
0.2500 0.2500 0.2500 Ag
0.7500 0.7500 0.7500 Au
```

- Total moment: 0.01 μB per formula unit
- Polymorph energy (0 for the lowest one): 0.0 meV/atom
- Formation energy from the elements: -0.56 eV per atom

[8]
## YScAgAu (PBE)

Data for a relaxed structure of YScAgAu.

POSCAR file:
```
YScAgAu
1.0
0.0000 3.4296 3.4296
3.4296 0.0000 3.4296
3.4296 3.4296 0.0000
Y Sc Ag Au
1 1 1 1
Direct
0.0000 0.0000 0.0000 Y
0.2500 0.2500 0.2500 Sc
0.7500 0.7500 0.7500 Ag
0.5000 0.5000 0.5000 Au
```

- Total moment: 0.00 μB per formula unit
- Polymorph energy (0 for the lowest one): 209.9 meV/atom
- Formation energy from the elements: -0.35 eV per atom

Which formula does entry 6 have?
Sc2TlZn2Ag2Au